## Th3Ru5N12 (PBE)

Data for a geometry-optimized Th3Ru5N12 structure.

a b c (Å): 11.1070 11.1070 11.1070
angles (deg): 109.47 109.47 109.47
Fractional coordinates of all 80 atoms:
Th: 0.1250 0.2500 0.3750
Th: 0.1250 0.3750 0.7500
Th: 0.2500 0.3750 0.1250
Th: 0.2500 0.8750 0.6250
Th: 0.3750 0.1250 0.2500
Th: 0.3750 0.7500 0.1250
Th: 0.6250 0.2500 0.8750
Th: 0.6250 0.8750 0.7500
Th: 0.7500 0.1250 0.3750
Th: 0.7500 0.6250 0.8750
Th: 0.8750 0.6250 0.2500
Th: 0.8750 0.7500 0.6250
Ru: 0.0000 0.0000 0.0000
Ru: 0.0000 0.0000 0.5000
Ru: 0.0000 0.5000 0.0000
Ru: 0.0000 0.5000 0.5000
Ru: 0.1250 0.7500 0.8750
Ru: 0.1250 0.8750 0.2500
Ru: 0.2500 0.1250 0.8750
Ru: 0.2500 0.6250 0.3750
Ru: 0.3750 0.2500 0.6250
Ru: 0.3750 0.6250 0.7500
Ru: 0.5000 0.0000 0.0000
Ru: 0.5000 0.0000 0.5000
Ru: 0.5000 0.5000 0.0000
Ru: 0.5000 0.5000 0.5000
Ru: 0.6250 0.3750 0.2500
Ru: 0.6250 0.7500 0.3750
Ru: 0.7500 0.3750 0.6250
Ru: 0.7500 0.8750 0.1250
Ru: 0.8750 0.1250 0.7500
Ru: 0.8750 0.2500 0.1250
N: 0.0196 0.2008 0.1208
N: 0.0196 0.3189 0.8988
N: 0.0800 0.7008 0.6811
N: 0.0800 0.8792 0.3988
N: 0.1012 0.6208 0.4200
N: 0.1012 0.9804 0.6811
N: 0.1208 0.0196 0.2008
N: 0.1208 0.6012 0.9200
N: 0.1811 0.2008 0.5800
N: 0.1811 0.4804 0.6012
N: 0.2008 0.1208 0.0196
N: 0.2008 0.5800 0.1811
N: 0.2992 0.3189 0.9200
N: 0.2992 0.4804 0.3792
N: 0.3189 0.8988 0.0196
N: 0.3189 0.9200 0.2992
N: 0.3792 0.2992 0.4804
N: 0.3792 0.5800 0.8988
N: 0.3988 0.0800 0.8792
N: 0.3988 0.8189 0.5196
N: 0.4200 0.1012 0.6208
N: 0.4200 0.8189 0.7992
N: 0.4804 0.3792 0.2992
N: 0.4804 0.6012 0.1811
N: 0.5196 0.3988 0.8189
N: 0.5196 0.6208 0.7008
N: 0.5800 0.1811 0.2008
N: 0.5800 0.8988 0.3792
N: 0.6012 0.1811 0.4804
N: 0.6012 0.9200 0.1208
N: 0.6208 0.4200 0.1012
N: 0.6208 0.7008 0.5196
N: 0.6811 0.0800 0.7008
N: 0.6811 0.1012 0.9804
N: 0.7008 0.5196 0.6208
N: 0.7008 0.6811 0.0800
N: 0.7992 0.4200 0.8189
N: 0.7992 0.8792 0.9804
N: 0.8189 0.5196 0.3988
N: 0.8189 0.7992 0.4200
N: 0.8792 0.3988 0.0800
N: 0.8792 0.9804 0.7992
N: 0.8988 0.0196 0.3189
N: 0.8988 0.3792 0.5800
N: 0.9200 0.1208 0.6012
N: 0.9200 0.2992 0.3189
N: 0.9804 0.6811 0.1012
N: 0.9804 0.7992 0.8792

* uncorrected energy: -8.750 eV per atom
* energy relative to the elements, uncorrected: -323 meV per atom
* symmetry: No. 230